# LaNdBi | Alexandria via LeMat-Bulk | PBE | optimized geometry
# Crystal system: tetragonal
data_LaNdBi
_symmetry_space_group_name_H-M 'P 1'
_symmetry_Int_Tables_number 1
_cell_length_a 4.297
_cell_length_b 4.297
_cell_length_c 6.056
_cell_angle_alpha 110.78
_cell_angle_beta 110.78
_cell_angle_gamma 90.00
loop_
_symmetry_equiv_pos_as_xyz
'x,y,z'
loop_
_atom_site_label
_atom_site_fract_x
_atom_site_fract_y
_atom_site_fract_z
Nd1 0.632 0.632 0.264
Bi1 0.280 0.280 0.560
La1 0.938 0.938 0.875

# LaNdBi2 | Alexandria via LeMat-Bulk | PBE | optimized geometry
# Crystal system: hexagonal
# E above lowest polymorph in eV/atom: 0.0462
data_LaNdBi2
_symmetry_space_group_name_H-M 'P 1'
_symmetry_Int_Tables_number 1
_cell_length_a 4.630
_cell_length_b 4.630
_cell_length_c 15.429
_cell_angle_alpha 90.00
_cell_angle_beta 90.00
_cell_angle_gamma 120.00
loop_
_symmetry_equiv_pos_as_xyz
'x,y,z'
loop_
_atom_site_label
_atom_site_fract_x
_atom_site_fract_y
_atom_site_fract_z
La1 0.667 0.333 0.250
La2 0.333 0.667 0.750
Nd1 0.000 0.000 0.500
Nd2 0.000 0.000 0.000
Bi1 0.333 0.667 0.379
Bi2 0.667 0.333 0.879
Bi3 0.667 0.333 0.621
Bi4 0.333 0.667 0.121

Calculated uncorrected energy (eV per atom), listed in the same order as above: -5.09; -5.32
Calculated calculated formation energy (eV/atom), listed in the same order as above: -0.567; -0.957